# HfTiFe2 GGA-PBEsol optimized geometry
# density of states at the Fermi level = 1.27 states/eV/f.u.
# SG = Fm-3m (225)
# ΔE_f = -0.37 eV per atom
data_HfTiFe2
_cell_length_a 4.2496
_cell_length_b 4.2496
_cell_length_c 4.2496
_cell_angle_alpha 60.00
_cell_angle_beta 60.00
_cell_angle_gamma 60.00
_symmetry_space_group_name_H-M 'P 1'
_symmetry_Int_Tables_number 1
loop_
_symmetry_equiv_pos_as_xyz
'x,y,z'
loop_
_atom_site_label
_atom_site_type_symbol
_atom_site_fract_x
_atom_site_fract_y
_atom_site_fract_z
_atom_site_occupancy
Fe1 Fe 0.2500 0.2500 0.2500 1
Fe2 Fe 0.7500 0.7500 0.7500 1
Ti1 Ti 0.0000 0.0000 0.0000 1
Hf1 Hf 0.5000 0.5000 0.5000 1



# Li2GaPt GGA-PBEsol optimized geometry
# density of states at the Fermi level = 1.35 states/eV/f.u.
# SG = F-43m (216)
# ΔE_f = -0.65 eV per atom
data_Li2GaPt
_cell_length_a 4.2352
_cell_length_b 4.2352
_cell_length_c 4.2352
_cell_angle_alpha 60.00
_cell_angle_beta 60.00
_cell_angle_gamma 60.00
_symmetry_space_group_name_H-M 'P 1'
_symmetry_Int_Tables_number 1
loop_
_symmetry_equiv_pos_as_xyz
'x,y,z'
loop_
_atom_site_label
_atom_site_type_symbol
_atom_site_fract_x
_atom_site_fract_y
_atom_site_fract_z
_atom_site_occupancy
Li1 Li 0.5000 0.5000 0.5000 1
Li2 Li 0.7500 0.7500 0.7500 1
Pt1 Pt 0.0000 0.0000 0.0000 1
Ga1 Ga 0.2500 0.2500 0.2500 1



# Cd2TcHg GGA-PBEsol optimized geometry
# density of states at the Fermi level = 1.17 states/eV/f.u.
# SG = P4/mmm (123)
# ΔE_f = 0.31 eV per atom
data_Cd2TcHg
_cell_length_a 4.1518
_cell_length_b 4.1604
_cell_length_c 4.1604
_cell_angle_alpha 90.00
_cell_angle_beta 90.00
_cell_angle_gamma 90.00
_symmetry_space_group_name_H-M 'P 1'
_symmetry_Int_Tables_number 1
loop_
_symmetry_equiv_pos_as_xyz
'x,y,z'
loop_
_atom_site_label
_atom_site_type_symbol
_atom_site_fract_x
_atom_site_fract_y
_atom_site_fract_z
_atom_site_occupancy
Cd1 Cd 0.0000 0.5000 0.0000 1
Cd2 Cd 0.0000 0.0000 0.5000 1
Tc1 Tc 0.5000 0.0000 0.0000 1
Hg1 Hg 0.5000 0.5000 0.5000 1



# TiRe3Ge GGA-PBEsol optimized geometry
# density of states at the Fermi level = 9.99 states/eV/f.u.
# SG = Pm-3m (221)
# ΔE_f = 1.48 eV per atom
data_TiRe3Ge
_cell_length_a 4.4658
_cell_length_b 4.4658
_cell_length_c 4.4658
_cell_angle_alpha 90.00
_cell_angle_beta 90.00
_cell_angle_gamma 90.00
_symmetry_space_group_name_H-M 'P 1'
_symmetry_Int_Tables_number 1
loop_
_symmetry_equiv_pos_as_xyz
'x,y,z'
loop_
_atom_site_label
_atom_site_type_symbol
_atom_site_fract_x
_atom_site_fract_y
_atom_site_fract_z
_atom_site_occupancy
Re1 Re 0.0000 0.5000 0.0000 1
Re2 Re 0.0000 0.0000 0.5000 1
Re3 Re 0.5000 0.0000 0.0000 1
Ti1 Ti 0.5000 0.5000 0.5000 1
Ge1 Ge 0.0000 0.0000 0.0000 1



# ZrPO2F GGA-PBEsol optimized geometry
# raw formation energy = -0.906 eV per atom
# density of states at the Fermi level = 3.33 states/eV/f.u.
# SG = P4/mmm (123)
data_ZrPO2F
_cell_length_a 3.7629
_cell_length_b 3.7629
_cell_length_c 4.2291
_cell_angle_alpha 90.00
_cell_angle_beta 90.00
_cell_angle_gamma 90.00
_symmetry_space_group_name_H-M 'P 1'
_symmetry_Int_Tables_number 1
loop_
_symmetry_equiv_pos_as_xyz
'x,y,z'
loop_
_atom_site_label
_atom_site_type_symbol
_atom_site_fract_x
_atom_site_fract_y
_atom_site_fract_z
_atom_site_occupancy
O1 O 0.0000 0.5000 0.0000 1
O2 O 0.5000 0.0000 0.0000 1
Zr1 Zr 0.5000 0.5000 0.5000 1
F1 F 0.0000 0.0000 0.5000 1
P1 P 0.0000 0.0000 0.0000 1



# SrLiZr2 GGA-PBEsol optimized geometry
# density of states at the Fermi level = 5.67 states/eV/f.u.
# SG = Imm2 (44)
# ΔE_f = 0.54 eV per atom
# energy relative to the lowest polymorph listed for this composition = 36 meV per atom
data_SrLiZr2
_cell_length_a 3.2028
_cell_length_b 5.9268
_cell_length_c 6.4320
_cell_angle_alpha 117.43
_cell_angle_beta 104.42
_cell_angle_gamma 90.00
_symmetry_space_group_name_H-M 'P 1'
_symmetry_Int_Tables_number 1
loop_
_symmetry_equiv_pos_as_xyz
'x,y,z'
loop_
_atom_site_label
_atom_site_type_symbol
_atom_site_fract_x
_atom_site_fract_y
_atom_site_fract_z
_atom_site_occupancy
Li1 Li 0.4838 0.4838 0.9675 1
Zr1 Zr 0.7500 0.2500 0.4999 1
Zr2 Zr 0.0275 0.0275 0.0550 1
Sr1 Sr 0.2388 0.7388 0.4776 1



> The highest density of states at the Fermi level belongs to which entry?

TiRe3Ge



> Look up the density of states at the Fermi level of the third one.

1.17 states/eV/f.u.